Entry from Alexandria: a geometry-optimized Dy2Sc3Tl2 structure (PBE).

Computed properties:
Fermi-level density of states ... 1.0311 states/eV/atom
Formation enthalpy at 0 K ... -192 meV per atom

abc: 5.192 5.188 8.337
angles: 108.16 90.00 120.02
Atoms (fractional coordinates):
Dy 0.074 0.148 0.721
Tl 0.218 0.435 0.153
Sc 0.500 0.000 0.000
Sc 0.347 0.694 0.541
Sc 0.653 0.306 0.459
Tl 0.782 0.565 0.847
Dy 0.926 0.852 0.279